Compound: GaCo2BrO
Source: Alexandria
Functional: GGA+U
Structure: relaxed

## Properties
- Final energy: -3.9539 eV/atom
- SG: P4/mmm
- Fermi-level density of states: 0.4 states/eV per cell

abc: 4.229 4.606 4.229
angles: 90.00 90.00 90.00
Site moments in Bohr magnetons follow the coordinates.
Positions (direct):
1 Br 0.500 0.500 0.500  0.07
2 Co 0.000 0.000 0.500  1.96
3 Co 0.500 0.000 0.000  1.91
4 O 0.000 0.000 0.000  -0.06
5 Ga 0.000 0.500 0.000  0.01